Below is a geometry-optimized LiFe2Ag structure, with properties calculated at the GGA-PBE level.

The formation energy is 0.328 eV/atom.

Cell: 4.2480 4.2480 5.9931 Å, 90.00 90.00 90.00°
Last column: nearest neighbours and their distance in Å.
Space group I-4m2 (No. 119)
Symmetry-distinct sites (fractional):
Li 0.0000 0.0000 0.0000 x2  4 Fe 2.60, 4 Ag 2.60
Fe 0.0000 0.0000 0.5000 x2  4 Fe 2.60, 4 Ag 2.60
Fe 0.0000 0.5000 0.7500 x2  4 Fe 2.60, 4 Li 2.60
Ag 0.0000 0.5000 0.2500 x2  4 Fe 2.60, 4 Li 2.60